Density functional theory data (PBE-GGA) for a relaxed LiCd15Ag4 crystal.

As for the crystal system: tetragonal. The calculation puts the final energy at -27.7 eV/f.u. Its energy relative to the elements is -0.03 eV/atom. Its density of states at the Fermi level is 0.4090 states/eV per atom.

The structure belongs to space group P4/mmm (No. 123); the cell edges are 4.372, 4.372 and 21.742 Å and the angles 90.00°, 90.00° and 90.00°. Symmetry generates all atoms from Li at (0.000, 0.000, 0.000), Cd at (0.000, 0.500, 0.099), Cd at (0.000, 0.500, 0.300), Cd at (0.000, 0.500, 0.500), Cd at (0.500, 0.500, 0.000), Cd at (0.500, 0.500, 0.200), Cd at (0.500, 0.500, 0.400), Ag at (0.000, 0.000, 0.199) and Ag at (0.000, 0.000, 0.401).